# 1
A relaxed structure of Sm3In3IrAu2, computed with PBE.

Calculated volume ... 212 Å³/f.u.
Total DFT energy (no corrections) ... -4.92 eV per atom
Density ... 10.83 Mg/m³
Symmetry ... P-62m, No. 189
Total magnetic moment ... 0.00 μB/cell

Lattice parameters (Å, degrees): 7.769 7.769 4.053 90.00 90.00 120.00
Sites, in units of the cell vectors:
Sm 0.401 0.401 0.000
Au 0.333 0.667 0.500
In 0.249 0.000 0.500
Sm 0.599 0.000 0.000
In 0.000 0.249 0.500
Au 0.667 0.333 0.500
In 0.751 0.751 0.500
Ir 0.000 0.000 0.000
Sm 0.000 0.599 0.000

# 2
A relaxed structure of Co7Te, computed with PBE.

Calculated volume ... 131 Å³/f.u.
Total DFT energy (no corrections) ... -6.36 eV per atom
Density ... 6.86 Mg/m³
Symmetry ... P4/nmm, No. 129
Total magnetic moment ... 22.96 μB/cell

Lattice parameters (Å, degrees): 2.758 2.758 34.356 90.00 90.00 90.00
Each line ends with the local moment (μB).
Sites, in units of the cell vectors:
Co 0.000 0.500 0.437  1.74
Co 0.000 0.500 0.777  1.13
Te 0.500 0.000 0.832  0.00
Te 0.000 0.500 0.168  0.00
Co 0.500 0.000 0.394  1.75
Co 0.000 0.500 0.606  1.75
Co 0.500 0.000 0.223  1.13
Co 0.500 0.000 0.733  1.77
Co 0.500 0.000 0.479  1.75
Co 0.000 0.500 0.521  1.75
Co 0.500 0.000 0.563  1.74
Co 0.500 0.000 0.310  1.72
Co 0.500 0.000 0.647  1.76
Co 0.000 0.500 0.690  1.72
Co 0.000 0.500 0.267  1.77
Co 0.000 0.500 0.353  1.76

# 3
A relaxed structure of TlCdW, computed with PBE.

Calculated volume ... 73 Å³/f.u.
Total DFT energy (no corrections) ... -4.08 eV per atom
Density ... 11.41 Mg/m³
Symmetry ... F-43m, No. 216
Total magnetic moment ... 1.97 μB/cell

Lattice parameters (Å, degrees): 4.688 4.688 4.688 60.00 60.00 60.00
Sites, in units of the cell vectors:
Cd 0.250 0.250 0.250
W 0.000 0.000 0.000
Tl 0.750 0.750 0.750

# 4
A relaxed structure of TmHfCSe, computed with PBE.

Calculated volume ... 69 Å³/f.u.
Total DFT energy (no corrections) ... -7.96 eV per atom
Density ... 10.48 Mg/m³
Symmetry ... P6_3mc, No. 186
Total magnetic moment ... 0.01 μB/cell

Lattice parameters (Å, degrees): 3.534 3.534 12.842 90.00 90.00 120.00
Sites, in units of the cell vectors:
Hf 0.667 0.333 0.904
C 0.000 0.000 0.990
Hf 0.333 0.667 0.404
Tm 0.333 0.667 0.099
Se 0.333 0.667 0.757
Tm 0.667 0.333 0.599
C 0.000 0.000 0.490
Se 0.667 0.333 0.257

# 5
A relaxed structure of ScAlZnNi, computed with PBE.

Calculated volume ... 60 Å³/f.u.
Total DFT energy (no corrections) ... -4.60 eV per atom
Density ... 5.46 Mg/m³
Symmetry ... F-43m, No. 216
Total magnetic moment ... 0.01 μB/cell

Lattice parameters (Å, degrees): 4.385 4.385 4.385 60.00 60.00 60.00
Sites, in units of the cell vectors:
Al 0.000 0.000 0.000
Zn 0.500 0.500 0.500
Sc 0.250 0.250 0.250
Ni 0.750 0.750 0.750

# 6
A relaxed structure of PrNd2Ni3Pt6, computed with PBE.

Calculated volume ... 216 Å³/f.u.
Total DFT energy (no corrections) ... -6.40 eV per atom
Density ... 13.65 Mg/m³
Symmetry ... R-3m, No. 166
Total magnetic moment ... 1.13 μB/cell

Lattice parameters (Å, degrees): 8.977 8.977 8.977 35.33 35.33 35.33
Each line ends with the local moment (μB).
Sites, in units of the cell vectors:
Pt 0.583 0.583 0.082  0.07
Nd 0.140 0.140 0.140  -0.01
Ni 0.333 0.333 0.333  0.31
Pr 0.000 0.000 0.000  -0.02
Pt 0.082 0.583 0.583  0.06
Ni 0.500 0.500 0.500  0.21
Ni 0.667 0.667 0.667  0.31
Pt 0.417 0.417 0.918  0.07
Pt 0.417 0.918 0.417  0.08
Nd 0.860 0.860 0.860  -0.01
Pt 0.918 0.417 0.417  0.06
Pt 0.583 0.082 0.583  0.08

# 7
A relaxed structure of Fe2As3N, computed with PBE.

Calculated volume ... 81 Å³/f.u.
Total DFT energy (no corrections) ... -6.47 eV per atom
Density ... 7.20 Mg/m³
Symmetry ... C2/c, No. 15
Total magnetic moment ... 0.03 μB/cell

Lattice parameters (Å, degrees): 5.620 5.625 6.014 99.73 99.82 116.16
Sites, in units of the cell vectors:
As 0.697 0.803 0.987
As 0.248 0.771 0.247
Fe 0.711 0.041 0.365
Fe 0.041 0.711 0.865
As 0.771 0.248 0.746
As 0.323 0.216 0.006
N 0.687 0.333 0.246
N 0.333 0.687 0.746
Fe 0.309 0.979 0.627
Fe 0.979 0.309 0.127
As 0.218 0.324 0.506
As 0.802 0.696 0.486

# 8
A relaxed structure of SrTlTc, computed with PBE.

Calculated volume ... 98 Å³/f.u.
Total DFT energy (no corrections) ... -3.47 eV per atom
Density ... 6.60 Mg/m³
Symmetry ... F-43m, No. 216
Total magnetic moment ... 2.82 μB/cell

Lattice parameters (Å, degrees): 5.177 5.177 5.177 60.00 60.00 60.00
Sites, in units of the cell vectors:
Sr 0.000 0.000 0.000
Tc 0.250 0.250 0.250
Tl 0.750 0.750 0.750

# 9
A relaxed structure of DyAlHg, computed with PBE.

Calculated volume ... 83 Å³/f.u.
Total DFT energy (no corrections) ... -2.77 eV per atom
Density ... 7.80 Mg/m³
Symmetry ... F-43m, No. 216
Total magnetic moment ... 0.00 μB/cell

Lattice parameters (Å, degrees): 4.897 4.897 4.897 60.00 60.00 60.00
Sites, in units of the cell vectors:
Dy 0.000 0.000 0.000
Al 0.250 0.250 0.250
Hg 0.750 0.750 0.750

# 10
A relaxed structure of Li2MgZrGa2Ir2, computed with PBE.

Calculated volume ... 123 Å³/f.u.
Total DFT energy (no corrections) ... -5.27 eV per atom
Density ... 8.83 Mg/m³
Symmetry ... P-4m2, No. 115
Total magnetic moment ... 0.00 μB/cell

Lattice parameters (Å, degrees): 4.434 4.434 6.252 90.00 90.00 90.00
Sites, in units of the cell vectors:
Zr 0.500 0.500 0.500
Ga 0.000 0.000 0.500
Li 0.000 0.500 0.229
Mg 0.000 0.000 0.000
Ir 0.500 0.000 0.252
Ga 0.500 0.500 0.000
Li 0.500 0.000 0.771
Ir 0.000 0.500 0.748

# 11
A relaxed structure of LaPaIn, computed with PBE.

Calculated volume ... 100 Å³/f.u.
Total DFT energy (no corrections) ... -5.27 eV per atom
Density ... 8.05 Mg/m³
Symmetry ... F-43m, No. 216
Total magnetic moment ... 1.32 μB/cell

Lattice parameters (Å, degrees): 5.210 5.210 5.210 60.00 60.00 60.00
Each line ends with the local moment (μB).
Sites, in units of the cell vectors:
La 0.250 0.250 0.250  0.14
Pa 0.750 0.750 0.750  0.91
In 0.000 0.000 0.000  -0.03

# 12
A relaxed structure of Tm3Mg3In2Pt, computed with PBE.

Calculated volume ... 212 Å³/f.u.
Total DFT energy (no corrections) ... -3.84 eV per atom
Density ... 7.87 Mg/m³
Symmetry ... P-62m, No. 189
Total magnetic moment ... 0.01 μB/cell

Lattice parameters (Å, degrees): 7.424 7.424 4.441 90.00 90.00 120.00
Sites, in units of the cell vectors:
Tm 0.601 0.601 0.000
Tm 0.000 0.399 0.000
Mg 0.768 0.000 0.500
Tm 0.399 0.000 0.000
In 0.333 0.667 0.500
Mg 0.000 0.768 0.500
In 0.667 0.333 0.500
Pt 0.000 0.000 0.000
Mg 0.232 0.232 0.500

Q: Which formula does entry 3 have?
A: TlCdW

Repeat the fourth record exactly.
A relaxed structure of TmHfCSe, computed with PBE.

Calculated volume ... 69 Å³/f.u.
Total DFT energy (no corrections) ... -7.96 eV per atom
Density ... 10.48 Mg/m³
Symmetry ... P6_3mc, No. 186
Total magnetic moment ... 0.01 μB/cell

Lattice parameters (Å, degrees): 3.534 3.534 12.842 90.00 90.00 120.00
Sites, in units of the cell vectors:
Hf 0.667 0.333 0.904
C 0.000 0.000 0.990
Hf 0.333 0.667 0.404
Tm 0.333 0.667 0.099
Se 0.333 0.667 0.757
Tm 0.667 0.333 0.599
C 0.000 0.000 0.490
Se 0.667 0.333 0.257